## AcMg5Tl2 (GGA-PBE)

Data for AcMg5Tl2 after structural relaxation.

Lattice parameters (Å, degrees): 4.589 7.326 7.326 71.06 71.75 71.75
Sites, in units of the cell vectors:
Ac: 0.000 0.000 0.000
Mg: 0.000 0.500 0.500
Mg: 0.645 0.536 0.173
Mg: 0.355 0.464 0.827
Mg: 0.355 0.827 0.464
Mg: 0.645 0.173 0.536
Tl: 0.736 0.764 0.764
Tl: 0.264 0.236 0.236

ΔE_f = -3.318 kcal/mol of atoms